Density functional theory data (PBE) for a geometry-optimized TaMnPt structure.

The energy relative to the elements is 0.2447 eV/atom. Its distance to the lowest polymorph of the same formula is 173 kJ/mol of formula units.

It has space group F-43m (No. 216), with a = 6.0272 Å, b = 6.0272 Å, c = 6.0272 Å, α = 90.00°, β = 90.00° and γ = 90.00°. The asymmetric unit holds Ta at (0.0000, 0.0000, 0.0000), Mn at (0.2500, 0.2500, 0.2500) and Pt at (0.2500, 0.2500, 0.7500).

---

Density functional theory data (PBE) for a geometry-optimized YbC6 structure.

The energy relative to the elements is -0.0179 eV/atom.

It has space group P6_3/mmc (No. 194), with a = 4.3384 Å, b = 4.3384 Å, c = 9.1036 Å, α = 90.00°, β = 90.00° and γ = 120.00°. The asymmetric unit holds Yb at (0.3333, 0.6667, 0.2500) and C at (0.0000, 0.3334, 0.0000).

---

Density functional theory data (PBE) for a geometry-optimized NdYLu2 structure.

The energy relative to the elements is 0.0324 eV/atom. Its distance to the lowest polymorph of the same formula is 0 kJ/mol of formula units.

It has space group R-3m (No. 166, hexagonal axes), with a = 3.5516 Å, b = 3.5516 Å, c = 34.4647 Å, α = 90.00°, β = 90.00° and γ = 120.00°. The asymmetric unit holds Nd at (0.0000, 0.0000, 0.0000), Y at (0.0000, 0.0000, 0.5000) and Lu at (0.0000, 0.0000, 0.2493).

---

Density functional theory data (PBE) for a geometry-optimized LaSbTe2Br structure.

As for the formation energy (no corrections): -12 meV per atom. Its distance to the lowest polymorph of the same formula is 0 kJ/mol of formula units.

It has space group P4/mmm (No. 123), with a = 5.6474 Å, b = 5.6474 Å, c = 5.3817 Å, α = 90.00°, β = 90.00° and γ = 90.00°. The asymmetric unit holds La at (0.0000, 0.0000, 0.0000), Sb at (0.5000, 0.5000, 0.0000), Te at (0.0000, 0.5000, 0.5000) and Br at (0.5000, 0.5000, 0.5000).

---

Density functional theory data (PBE) for a geometry-optimized CaLaBi3 structure.

The energy relative to the elements is -0.0084 eV/atom. Its distance to the lowest polymorph of the same formula is 0 kJ/mol of formula units.

It has space group Pm-3m (No. 221), with a = 5.7379 Å, b = 5.7379 Å, c = 5.7379 Å, α = 90.00°, β = 90.00° and γ = 90.00°. The asymmetric unit holds Ca at (0.0000, 0.0000, 0.0000), La at (0.5000, 0.5000, 0.5000) and Bi at (0.0000, 0.0000, 0.5000).

---

Density functional theory data (PBE) for a geometry-optimized Rb2MgIrF6 structure.

As for the formation energy (no corrections): -2319 meV per atom.

It has space group I4/mmm (No. 139), with a = 6.0871 Å, b = 6.0871 Å, c = 8.2693 Å, α = 90.00°, β = 90.00° and γ = 90.00°. The asymmetric unit holds Rb at (0.0000, 0.5000, 0.2500), Mg at (0.0000, 0.0000, 0.0000), Ir at (0.0000, 0.0000, 0.5000), F at (0.0000, 0.0000, 0.2496) and F at (0.2336, 0.2336, 0.0000).

---

Number 1: energy -8.776 eV/atom. Number 2: energy -8.142 eV/atom. Number 3: energy -5.036 eV/atom. Number 4: energy -3.413 eV/atom. Number 5: energy -3.723 eV/atom. Number 6: energy -4.681 eV/atom.